Computed, not measured: a relaxed Na2MnS2O8 crystal at the PBE with a Hubbard U level of DFT.

Cell: 6.5806 6.5806 8.9253 Å, 69.01 110.99 101.99°
Last column: magnetic moment on the atom in μB.
Element x y z (fractional)
Na 0.3117 0.5884 0.5560  0.00
Na 0.5884 0.3117 0.9440  0.00
Na 0.4116 0.6883 0.0560  0.00
Na 0.6883 0.4116 0.4440  0.00
Mn 0.0840 0.0840 0.2500  4.68
Mn 0.9160 0.9160 0.7500  4.68
S 0.0216 0.3975 0.8171  0.01
S 0.6025 0.9784 0.3171  0.01
S 0.3975 0.0216 0.6829  0.01
S 0.9784 0.6025 0.1829  0.01
O 0.2774 0.9684 0.8087  0.01
O 0.0316 0.7226 0.3087  0.01
O 0.9684 0.2774 0.6913  0.01
O 0.7226 0.0316 0.1913  0.01
O 0.2501 0.9611 0.5312  0.01
O 0.0389 0.7499 0.0312  0.01
O 0.9611 0.2501 0.9688  0.01
O 0.7499 0.0389 0.4688  0.01
O 0.2580 0.4735 0.8601  0.00
O 0.5265 0.7420 0.3601  0.00
O 0.4735 0.2580 0.6399  0.00
O 0.7420 0.5265 0.1399  0.00
O 0.5870 0.8851 0.7649  0.02
O 0.1149 0.4130 0.2649  0.02
O 0.8851 0.5870 0.7351  0.02
O 0.4130 0.1149 0.2351  0.02

Summary:
energy	-160.51	eV for the cell shown
space-group type	C2/c